No. 1
NaAsPd3: optimized geometry, GGA-PBEsol.

Cell lengths 4.518, 4.518, 4.518 Å; angles 90.00, 90.00, 90.00 degrees
Fractional positions:
Pd 0.500 0.000 0.000
As 0.500 0.500 0.500
Pd 0.000 0.500 0.000
Na 0.000 0.000 0.000
Pd 0.000 0.000 0.500


No. 2
Mg2TlSn2: optimized geometry, GGA-PBEsol.

Cell lengths 4.787, 4.787, 6.915 Å; angles 110.25, 110.25, 90.00 degrees
Fractional positions:
Sn 0.387 0.387 0.773
Mg 0.750 0.250 0.500
Tl 0.000 0.000 0.000
Sn 0.613 0.613 0.227
Mg 0.250 0.750 0.500

Output
Energy above the most stable polymorph in this dataset in meV per atom: 47


No. 3
K2CoW: optimized geometry, GGA-PBEsol.

Cell lengths 2.701, 4.853, 6.461 Å; angles 111.33, 100.83, 93.24 degrees
Fractional positions:
Co 0.000 0.500 0.000
W 0.500 0.000 0.000
K 0.000 0.000 0.500
K 0.500 0.500 0.500


No. 4
Sr2GdBiO6: optimized geometry, GGA-PBEsol.

Cell lengths 6.051, 6.051, 6.051 Å; angles 60.00, 60.00, 60.00 degrees
Fractional positions:
O 0.744 0.256 0.256
Sr 0.250 0.250 0.250
O 0.256 0.256 0.744
O 0.256 0.744 0.744
O 0.744 0.256 0.744
O 0.256 0.744 0.256
Bi 0.500 0.500 0.500
O 0.744 0.744 0.256
Sr 0.750 0.750 0.750
Gd 0.000 0.000 0.000


no.,theoretical density (g/cm3),electronic total energy (eV per cell)
1,7.5,-18.82
2,5.9,-14.84
3,6.9,-17.57
4,6.8,-77.24